Ce7Bi2C2 | PBE-GGA | relaxed Values from VASP.

Values from the calculation:
E_form	-0.21	eV per atom
V	23.90	Å³ per atom
theoretical density	9.0	g/cm3
DOS at the Fermi energy	2.1962	states/eV per atom

The structure in Quantum ESPRESSO input format:
```
&SYSTEM
  ibrav = 0, nat = 11, ntyp = 3
/
ATOMIC_SPECIES
Ce 140.12 Ce.upf
Bi 208.98 Bi.upf
C 12.01 C.upf
CELL_PARAMETERS angstrom
6.409 -5.885 0.000
6.409 5.885 0.000
-0.200 0.000 3.485
ATOMIC_POSITIONS crystal
Ce 0.000 0.000 0.000
Ce 0.080 0.380 0.731
Ce 0.380 0.080 0.731
Ce 0.404 0.404 0.290
Ce 0.596 0.596 0.710
Ce 0.620 0.920 0.269
Ce 0.920 0.620 0.269
Bi 0.250 0.750 0.500
Bi 0.750 0.250 0.500
C 0.207 0.207 0.212
C 0.793 0.793 0.788
```


Ce4Bi2C | PBE-GGA | relaxed Values from VASP.

Values from the calculation:
E_form	-0.47	eV per atom
V	28.60	Å³ per atom
theoretical density	8.2	g/cm3
relative energy among the computed polymorphs	0.080	eV/atom
DOS at the Fermi energy	2.8599	states/eV per atom

The structure in Quantum ESPRESSO input format:
```
&SYSTEM
  ibrav = 0, nat = 14, ntyp = 3
/
ATOMIC_SPECIES
Ce 140.12 Ce.upf
Bi 208.98 Bi.upf
C 12.01 C.upf
CELL_PARAMETERS angstrom
6.568 0.000 0.000
0.000 6.666 0.000
-3.048 0.000 9.145
ATOMIC_POSITIONS crystal
Ce 0.198 0.250 0.037
Ce 0.260 0.521 0.708
Ce 0.260 0.750 0.346
Ce 0.260 0.979 0.708
Ce 0.740 0.021 0.292
Ce 0.740 0.250 0.654
Ce 0.740 0.479 0.292
Ce 0.802 0.750 0.963
Bi 0.243 0.250 0.399
Bi 0.326 0.750 0.032
Bi 0.674 0.250 0.968
Bi 0.757 0.750 0.601
C 0.103 0.250 0.782
C 0.897 0.750 0.218
```


Ce4Bi3C2 | PBE-GGA | relaxed Values from VASP.

Values from the calculation:
E_form	-0.43	eV per atom
V	26.97	Å³ per atom
theoretical density	8.3	g/cm3
DOS at the Fermi energy	0.3044	states/eV per atom

The structure in Quantum ESPRESSO input format:
```
&SYSTEM
  ibrav = 0, nat = 18, ntyp = 3
/
ATOMIC_SPECIES
Ce 140.12 Ce.upf
Bi 208.98 Bi.upf
C 12.01 C.upf
CELL_PARAMETERS angstrom
7.233 -5.149 0.000
7.233 5.149 0.000
-0.337 0.000 6.517
ATOMIC_POSITIONS crystal
Ce 0.069 0.673 0.985
Ce 0.236 0.388 0.430
Ce 0.327 0.931 0.515
Ce 0.388 0.236 0.930
Ce 0.612 0.764 0.070
Ce 0.673 0.069 0.485
Ce 0.764 0.612 0.570
Ce 0.931 0.327 0.015
Bi 0.033 0.769 0.487
Bi 0.231 0.967 0.013
Bi 0.452 0.548 0.750
Bi 0.548 0.452 0.250
Bi 0.769 0.033 0.987
Bi 0.967 0.231 0.513
C 0.156 0.405 0.083
C 0.405 0.156 0.583
C 0.595 0.844 0.417
C 0.844 0.595 0.917
```


Ce4Bi5C | PBE-GGA | relaxed Values from VASP.

Values from the calculation:
E_form	-0.31	eV per atom
V	30.44	Å³ per atom
theoretical density	8.8	g/cm3
DOS at the Fermi energy	2.3142	states/eV per atom

The structure in Quantum ESPRESSO input format:
```
&SYSTEM
  ibrav = 0, nat = 10, ntyp = 3
/
ATOMIC_SPECIES
Ce 140.12 Ce.upf
Bi 208.98 Bi.upf
C 12.01 C.upf
CELL_PARAMETERS angstrom
9.009 -2.127 0.000
9.009 2.127 0.000
-2.315 0.000 7.942
ATOMIC_POSITIONS crystal
Ce 0.037 0.037 0.210
Ce 0.372 0.372 0.069
Ce 0.628 0.628 0.931
Ce 0.963 0.963 0.790
Bi 0.144 0.144 0.625
Bi 0.216 0.216 0.219
Bi 0.500 0.500 0.500
Bi 0.784 0.784 0.781
Bi 0.856 0.856 0.375
C 0.500 0.500 0.000
```


Ce6Bi3C | PBE-GGA | relaxed Values from VASP.

Values from the calculation:
E_form	-0.44	eV per atom
V	29.30	Å³ per atom
theoretical density	8.4	g/cm3
DOS at the Fermi energy	3.2978	states/eV per atom

The structure in Quantum ESPRESSO input format:
```
&SYSTEM
  ibrav = 0, nat = 20, ntyp = 3
/
ATOMIC_SPECIES
Ce 140.12 Ce.upf
Bi 208.98 Bi.upf
C 12.01 C.upf
CELL_PARAMETERS angstrom
6.327 0.000 0.000
0.000 8.512 0.000
-6.169 0.000 10.879
ATOMIC_POSITIONS crystal
Ce 0.044 0.222 0.454
Ce 0.044 0.278 0.954
Ce 0.290 0.650 0.459
Ce 0.290 0.850 0.959
Ce 0.342 0.038 0.220
Ce 0.342 0.462 0.720
Ce 0.658 0.538 0.280
Ce 0.658 0.962 0.780
Ce 0.710 0.150 0.041
Ce 0.710 0.350 0.541
Ce 0.956 0.722 0.046
Ce 0.956 0.778 0.546
Bi 0.150 0.110 0.744
Bi 0.150 0.390 0.244
Bi 0.500 0.000 0.500
Bi 0.500 0.500 0.000
Bi 0.850 0.610 0.756
Bi 0.850 0.890 0.256
C 0.000 0.000 0.000
C 0.000 0.500 0.500
```


Ce2BiC | PBE-GGA | relaxed Values from VASP.

Values from the calculation:
E_form	-0.50	eV per atom
V	25.69	Å³ per atom
theoretical density	8.1	g/cm3
DOS at the Fermi energy	1.8376	states/eV per atom

The structure in Quantum ESPRESSO input format:
```
&SYSTEM
  ibrav = 0, nat = 8, ntyp = 3
/
ATOMIC_SPECIES
Ce 140.12 Ce.upf
Bi 208.98 Bi.upf
C 12.01 C.upf
CELL_PARAMETERS angstrom
4.711 0.000 0.000
0.000 4.711 0.000
0.000 0.000 9.258
ATOMIC_POSITIONS crystal
Ce 0.250 0.250 0.168
Ce 0.250 0.750 0.500
Ce 0.750 0.250 0.500
Ce 0.750 0.750 0.832
Bi 0.250 0.250 0.800
Bi 0.750 0.750 0.200
C 0.250 0.250 0.408
C 0.750 0.750 0.592
```


Ce5Bi2C | PBE-GGA | relaxed Values from VASP.

Values from the calculation:
E_form	-0.39	eV per atom
V	27.25	Å³ per atom
theoretical density	8.6	g/cm3
relative energy among the computed polymorphs	0.000	eV/atom
DOS at the Fermi energy	2.2584	states/eV per atom

The structure in Quantum ESPRESSO input format:
```
&SYSTEM
  ibrav = 0, nat = 8, ntyp = 3
/
ATOMIC_SPECIES
Ce 140.12 Ce.upf
Bi 208.98 Bi.upf
C 12.01 C.upf
CELL_PARAMETERS angstrom
-3.509 3.509 4.427
3.509 -3.509 4.427
3.509 3.509 -4.427
ATOMIC_POSITIONS crystal
Ce 0.000 0.000 0.000
Ce 0.425 0.425 0.515
Ce 0.425 0.910 0.000
Ce 0.910 0.425 0.000
Ce 0.910 0.910 0.485
Bi 0.419 0.919 0.500
Bi 0.919 0.419 0.500
C 0.721 0.721 0.000
```


Ce7Bi3C2 | PBE-GGA | relaxed Values from VASP.

Values from the calculation:
E_form	-0.53	eV per atom
V	25.92	Å³ per atom
theoretical density	8.7	g/cm3
DOS at the Fermi energy	2.0734	states/eV per atom

The structure in Quantum ESPRESSO input format:
```
&SYSTEM
  ibrav = 0, nat = 12, ntyp = 3
/
ATOMIC_SPECIES
Ce 140.12 Ce.upf
Bi 208.98 Bi.upf
C 12.01 C.upf
CELL_PARAMETERS angstrom
2.502 -12.669 0.000
2.502 12.669 0.000
0.000 0.000 4.905
ATOMIC_POSITIONS crystal
Ce 0.000 0.000 0.000
Ce 0.094 0.906 0.500
Ce 0.199 0.801 0.000
Ce 0.404 0.596 0.000
Ce 0.596 0.404 0.000
Ce 0.801 0.199 0.000
Ce 0.906 0.094 0.500
Bi 0.311 0.689 0.500
Bi 0.500 0.500 0.500
Bi 0.689 0.311 0.500
C 0.103 0.897 0.000
C 0.897 0.103 0.000
```


Ce4BiC | PBE-GGA | relaxed Values from VASP.

Values from the calculation:
E_form	-0.22	eV per atom
V	25.64	Å³ per atom
theoretical density	8.4	g/cm3
DOS at the Fermi energy	2.6877	states/eV per atom

The structure in Quantum ESPRESSO input format:
```
&SYSTEM
  ibrav = 0, nat = 12, ntyp = 3
/
ATOMIC_SPECIES
Ce 140.12 Ce.upf
Bi 208.98 Bi.upf
C 12.01 C.upf
CELL_PARAMETERS angstrom
7.908 -3.144 0.000
7.908 3.144 0.000
-1.495 0.000 6.186
ATOMIC_POSITIONS crystal
Ce 0.110 0.702 0.689
Ce 0.176 0.394 0.167
Ce 0.298 0.890 0.811
Ce 0.394 0.176 0.667
Ce 0.606 0.824 0.333
Ce 0.702 0.110 0.189
Ce 0.824 0.606 0.833
Ce 0.890 0.298 0.311
Bi 0.279 0.721 0.250
Bi 0.721 0.279 0.750
C 0.000 0.500 0.500
C 0.500 0.000 0.000
```


Ce2BiC | PBE-GGA | relaxed Values from VASP.

Values from the calculation:
E_form	-0.40	eV per atom
V	23.93	Å³ per atom
theoretical density	8.7	g/cm3
DOS at the Fermi energy	1.7195	states/eV per atom

The structure in Quantum ESPRESSO input format:
```
&SYSTEM
  ibrav = 0, nat = 4, ntyp = 3
/
ATOMIC_SPECIES
Ce 140.12 Ce.upf
Bi 208.98 Bi.upf
C 12.01 C.upf
CELL_PARAMETERS angstrom
1.824 1.053 8.308
-1.824 1.053 8.308
0.000 -2.106 8.308
ATOMIC_POSITIONS crystal
Ce 0.223 0.223 0.223
Ce 0.777 0.777 0.777
Bi 0.000 0.000 0.000
C 0.500 0.500 0.500
```


Ce2BiC2 | PBE-GGA | relaxed Values from VASP.

Values from the calculation:
E_form	-0.45	eV per atom
V	21.46	Å³ per atom
theoretical density	7.9	g/cm3
DOS at the Fermi energy	0.8792	states/eV per atom

The structure in Quantum ESPRESSO input format:
```
&SYSTEM
  ibrav = 0, nat = 10, ntyp = 3
/
ATOMIC_SPECIES
Ce 140.12 Ce.upf
Bi 208.98 Bi.upf
C 12.01 C.upf
CELL_PARAMETERS angstrom
7.641 -2.192 0.000
7.641 2.192 0.000
-0.570 0.000 6.408
ATOMIC_POSITIONS crystal
Ce 0.054 0.634 0.832
Ce 0.366 0.946 0.668
Ce 0.634 0.054 0.332
Ce 0.946 0.366 0.168
Bi 0.292 0.708 0.250
Bi 0.708 0.292 0.750
C 0.147 0.399 0.471
C 0.399 0.147 0.971
C 0.601 0.853 0.029
C 0.853 0.601 0.529
```


Ce5Bi2C | PBE-GGA | relaxed Values from VASP.

Values from the calculation:
E_form	-0.04	eV per atom
V	35.86	Å³ per atom
theoretical density	6.5	g/cm3
relative energy among the computed polymorphs	0.349	eV/atom
DOS at the Fermi energy	3.1937	states/eV per atom

The structure in Quantum ESPRESSO input format:
```
&SYSTEM
  ibrav = 0, nat = 16, ntyp = 3
/
ATOMIC_SPECIES
Ce 140.12 Ce.upf
Bi 208.98 Bi.upf
C 12.01 C.upf
CELL_PARAMETERS angstrom
2.774 -8.208 0.000
2.774 8.208 0.000
0.000 0.000 12.599
ATOMIC_POSITIONS crystal
Ce 0.074 0.926 0.646
Ce 0.074 0.926 0.854
Ce 0.284 0.716 0.590
Ce 0.284 0.716 0.910
Ce 0.298 0.702 0.250
Ce 0.702 0.298 0.750
Ce 0.716 0.284 0.090
Ce 0.716 0.284 0.410
Ce 0.926 0.074 0.146
Ce 0.926 0.074 0.354
Bi 0.126 0.874 0.100
Bi 0.126 0.874 0.400
Bi 0.874 0.126 0.600
Bi 0.874 0.126 0.900
C 0.198 0.802 0.750
C 0.802 0.198 0.250
```